Entry 1:
Density functional theory data (PBE-GGA) for Rh2W3N after structural relaxation.

Values from the calculation:
For the formation energy (no corrections), the calculation gives -0.19 eV per atom. For the calculated total energy, the calculation gives -252.2 eV/cell. The space group is No. 213.

Cell: 6.8559 6.8559 6.8559 Å, 90.00 90.00 90.00°
With the nearest neighbours (Å) after each atom.
Element x y z (fractional)
Rh  0.0586  0.0586  0.0586  3 Rh 2.59, 9 W 2.76-2.90
Rh  0.1914  0.8086  0.3086  3 Rh 2.59, 9 W 2.76-2.90
Rh  0.3086  0.1914  0.8086  3 Rh 2.59, 9 W 2.76-2.90
Rh  0.4414  0.9414  0.5586  3 Rh 2.59, 9 W 2.76-2.90
Rh  0.5586  0.4414  0.9414  3 Rh 2.59, 9 W 2.76-2.90
Rh  0.6914  0.6914  0.6914  3 Rh 2.59, 9 W 2.76-2.90
Rh  0.8086  0.3086  0.1914  3 Rh 2.59, 9 W 2.76-2.90
Rh  0.9414  0.5586  0.4414  3 Rh 2.59, 9 W 2.76-2.90
W  0.0495  0.8750  0.7005  2 N 2.15
W  0.1250  0.2005  0.4505  2 N 2.15
W  0.2005  0.4505  0.1250  2 N 2.15
W  0.2995  0.5495  0.6250  2 N 2.15
W  0.3750  0.7995  0.9505  2 N 2.15
W  0.4505  0.1250  0.2005  2 N 2.15
W  0.5495  0.6250  0.2995  2 N 2.15
W  0.6250  0.2995  0.5495  2 N 2.15
W  0.7005  0.0495  0.8750  2 N 2.15
W  0.7995  0.9505  0.3750  2 N 2.15
W  0.8750  0.7005  0.0495  2 N 2.15
W  0.9505  0.3750  0.7995  2 N 2.15
N  0.1250  0.6250  0.8750  6 W 2.15
N  0.3750  0.3750  0.3750  6 W 2.15
N  0.6250  0.8750  0.1250  6 W 2.15
N  0.8750  0.1250  0.6250  6 W 2.15


Entry 2:
Density functional theory data (PBE-GGA) for Ac3In2Ni after structural relaxation.

Values from the calculation:
For the calculated total energy, the calculation gives -50.0 eV/cell. The space group is No. 15. As for the formation energy: -22.8 kJ/mol of atoms.

Cell: 7.2227 7.2227 8.2213 Å, 103.24 103.24 82.32°
With the nearest neighbours (Å) after each atom.
Element x y z (fractional)
Ac  0.1000  0.9000  0.7500  1 Ni 2.87
Ac  0.2666  0.4175  0.0327  1 Ni 2.96
Ac  0.4175  0.2666  0.5327  1 Ni 2.96
Ac  0.5825  0.7334  0.4673  1 Ni 2.96
Ac  0.7334  0.5825  0.9673  1 Ni 2.96
Ac  0.9000  0.1000  0.2500  1 Ni 2.87
In  0.0292  0.5794  0.3578  1 Ni 2.55
In  0.4206  0.9708  0.1422  1 Ni 2.55
In  0.5794  0.0292  0.8578  1 Ni 2.55
In  0.9708  0.4206  0.6422  1 Ni 2.55
Ni  0.2016  0.7984  0.2500  2 In 2.55
Ni  0.7984  0.2016  0.7500  2 In 2.55


Entry 3:
Density functional theory data (PBE-GGA) for Sm2DySc2In5 after structural relaxation.

Values from the calculation:
For the calculated total energy, the calculation gives -88.0 eV/cell. The space group is No. 127. As for the formation energy: -34.8 kJ/mol of atoms.

Cell: 10.6028 10.6028 4.6644 Å, 90.00 90.00 90.00°
With the nearest neighbours (Å) after each atom.
Element x y z (fractional)
Sm  0.1786  0.3214  0.0000  3 Sc 3.04-3.22
Sm  0.3214  0.8214  0.0000  3 Sc 3.04-3.22
Sm  0.6786  0.1786  0.0000  3 Sc 3.04-3.22
Sm  0.8214  0.6786  0.0000  3 Sc 3.04-3.22
Dy  0.0000  0.0000  0.0000  8 In 3.24
Dy  0.5000  0.5000  0.0000  8 In 3.24
Sc  0.1188  0.6188  0.0000  6 In 2.93-3.06, 3 Sm 3.04-3.22
Sc  0.3812  0.1188  0.0000  6 In 2.93-3.06, 3 Sm 3.04-3.22
Sc  0.6188  0.8812  0.0000  6 In 2.93-3.06, 3 Sm 3.04-3.22
Sc  0.8812  0.3812  0.0000  6 In 2.93-3.06, 3 Sm 3.04-3.22
In  0.0000  0.5000  0.5000  4 Sc 2.93, 4 In 3.23
In  0.0649  0.7977  0.5000  2 Sc 3.06, 3 In 3.19-3.23, 2 Dy 3.24
In  0.2023  0.0649  0.5000  2 Sc 3.06, 3 In 3.19-3.23, 2 Dy 3.24
In  0.2977  0.5649  0.5000  2 Sc 3.06, 3 In 3.19-3.23, 2 Dy 3.24
In  0.4351  0.2977  0.5000  2 Sc 3.06, 3 In 3.19-3.23, 2 Dy 3.24
In  0.5000  0.0000  0.5000  4 Sc 2.93, 4 In 3.23
In  0.5649  0.7023  0.5000  2 Sc 3.06, 3 In 3.19-3.23, 2 Dy 3.24
In  0.7023  0.4351  0.5000  2 Sc 3.06, 3 In 3.19-3.23, 2 Dy 3.24
In  0.7977  0.9351  0.5000  2 Sc 3.06, 3 In 3.19-3.23, 2 Dy 3.24
In  0.9351  0.2023  0.5000  2 Sc 3.06, 3 In 3.19-3.23, 2 Dy 3.24


Entry 4:
Density functional theory data (PBE-GGA) for Ta3Cr after structural relaxation.

Values from the calculation:
For the calculated total energy, the calculation gives -44.8 eV/cell. The space group is No. 10. As for the formation energy: 9.1 kJ/mol of atoms.

Cell: 2.8821 4.4545 5.3205 Å, 90.00 101.02 90.00°
With the nearest neighbours (Å) after each atom.
Element x y z (fractional)
Ta  0.0000  0.0000  0.0000  2 Cr 2.77, 6 Ta 2.82-2.88
Ta  0.2754  0.5000  0.7393  2 Cr 2.70, 6 Ta 2.73-2.88
Ta  0.7246  0.5000  0.2607  2 Cr 2.70, 6 Ta 2.73-2.88
Cr  0.5000  0.0000  0.5000  6 Ta 2.70-2.77, 2 Cr 2.88